No. 1
# PBEsol NiMoW2, relaxed
# **Polymorph energy (0 for the lowest one)**: 0.019 eV per atom
# **Theoretical density**: 14.96 g/cm3
# **E_form**: 169 meV per atom
# **Size of the total moment**: 0.0 μB/cell
data_NiMoW2
_symmetry_space_group_name_H-M 'P 1 m 1'
_symmetry_Int_Tables_number 6
_symmetry_space_group_name_Hall 'P -2y'
_cell_length_a 2.634
_cell_length_b 4.378
_cell_length_c 5.089
_cell_angle_alpha 90.00
_cell_angle_beta 98.95
_cell_angle_gamma 90.00
loop_
_atom_site_label
_atom_site_type_symbol
_atom_site_fract_x
_atom_site_fract_y
_atom_site_fract_z
_atom_site_occupancy
Ni1 Ni 0.000 0.000 0.000 1
Mo1 Mo 0.369 0.500 0.757 1
W1 W 0.615 0.000 0.497 1
W2 W 0.893 0.500 0.249 1

---

No. 2
# PBEsol Zr5InPb3, relaxed
# **Theoretical density**: 9.93 g/cm3
# **E_form**: -371 meV per atom
# **Size of the total moment**: 0.0 μB/cell
data_Zr5InPb3
_symmetry_space_group_name_H-M 'P 63/m c m'
_symmetry_Int_Tables_number 193
_symmetry_space_group_name_Hall '-P 6c 2'
_cell_length_a 8.8051
_cell_length_b 8.8051
_cell_length_c 5.9382
_cell_angle_alpha 90.00
_cell_angle_beta 90.00
_cell_angle_gamma 120.00
loop_
_atom_site_label
_atom_site_type_symbol
_atom_site_fract_x
_atom_site_fract_y
_atom_site_fract_z
_atom_site_occupancy
Zr1 Zr 0.0000 0.2802 0.2500 1
Zr2 Zr 0.3333 0.6667 0.0000 1
In1 In 0.0000 0.0000 0.0000 1
Pb1 Pb 0.0000 0.3820 0.7500 1

---

No. 3
# PBEsol Mg2CuW, relaxed
# **Polymorph energy (0 for the lowest one)**: 0.154 eV per atom
# **Theoretical density**: 7.56 g/cm3
# **E_form**: 606 meV per atom
# **Size of the total moment**: 0.0 μB/cell
data_Mg2CuW
_symmetry_space_group_name_H-M 'P 4/m m m'
_symmetry_Int_Tables_number 123
_symmetry_space_group_name_Hall '-P 4 2'
_cell_length_a 4.863
_cell_length_b 4.863
_cell_length_c 2.748
_cell_angle_alpha 90.00
_cell_angle_beta 90.00
_cell_angle_gamma 90.00
loop_
_atom_site_label
_atom_site_type_symbol
_atom_site_fract_x
_atom_site_fract_y
_atom_site_fract_z
_atom_site_occupancy
Mg1 Mg 0.000 0.500 0.000 1
Cu1 Cu 0.000 0.000 0.500 1
W1 W 0.500 0.500 0.500 1

---

No. 4
# PBEsol MgBeIn2, relaxed
# **Polymorph energy (0 for the lowest one)**: 0.011 eV per atom
# **Theoretical density**: 5.59 g/cm3
# **E_form**: 265 meV per atom
# **Size of the total moment**: 0.0 μB/cell
data_MgBeIn2
_symmetry_space_group_name_H-M 'I -4 m 2'
_symmetry_Int_Tables_number 119
_symmetry_space_group_name_Hall 'I -4 -2'
_cell_length_a 4.215
_cell_length_b 4.215
_cell_length_c 8.796
_cell_angle_alpha 90.00
_cell_angle_beta 90.00
_cell_angle_gamma 90.00
loop_
_atom_site_label
_atom_site_type_symbol
_atom_site_fract_x
_atom_site_fract_y
_atom_site_fract_z
_atom_site_occupancy
Mg1 Mg 0.000 0.000 0.000 1
Be1 Be 0.000 0.500 0.250 1
In1 In 0.000 0.000 0.500 1
In2 In 0.000 0.500 0.750 1

---

No. 5
# PBEsol KMg, relaxed
# **Theoretical density**: 1.41 g/cm3
# **E_form**: 220 meV per atom
# **Size of the total moment**: 0.0 μB/cell
data_KMg
_symmetry_space_group_name_H-M 'R -3 m'
_symmetry_Int_Tables_number 166
_symmetry_space_group_name_Hall '-R 3 2"'
_cell_length_a 5.9518
_cell_length_b 5.9518
_cell_length_c 14.6070
_cell_angle_alpha 90.00
_cell_angle_beta 90.00
_cell_angle_gamma 120.00
loop_
_atom_site_label
_atom_site_type_symbol
_atom_site_fract_x
_atom_site_fract_y
_atom_site_fract_z
_atom_site_occupancy
K1 K 0.0000 0.0000 0.1250 1
Mg1 Mg 0.0000 0.0000 0.3746 1

---

No. 6
# PBEsol TiCuSb2I, relaxed
# **Theoretical density**: 6.15 g/cm3
# **Energy relative to the elements, uncorrected**: 680 meV/atom
# **Size of the total moment**: 1.7 μB/cell
data_TiCuSb2I
_symmetry_space_group_name_H-M 'P 4/m m m'
_symmetry_Int_Tables_number 123
_symmetry_space_group_name_Hall '-P 4 2'
_cell_length_a 4.919
_cell_length_b 4.919
_cell_length_c 5.378
_cell_angle_alpha 90.00
_cell_angle_beta 90.00
_cell_angle_gamma 90.00
loop_
_atom_site_label
_atom_site_type_symbol
_atom_site_fract_x
_atom_site_fract_y
_atom_site_fract_z
_atom_site_occupancy
Ti1 Ti 0.000 0.000 0.000 1
Cu1 Cu 0.500 0.500 0.500 1
Sb1 Sb 0.000 0.500 0.500 1
I1 I 0.500 0.500 0.000 1

---

No. 7
# PBEsol K3Ta8O21, relaxed
# **Theoretical density**: 7.18 g/cm3
# **Energy relative to the elements, uncorrected**: -2773 meV/atom
# **Size of the total moment**: 0.0 μB/cell
data_K3Ta8O21
_symmetry_space_group_name_H-M 'P 63/m c m'
_symmetry_Int_Tables_number 193
_symmetry_space_group_name_Hall '-P 6c 2'
_cell_length_a 9.1682
_cell_length_b 9.1682
_cell_length_c 12.0788
_cell_angle_alpha 90.00
_cell_angle_beta 90.00
_cell_angle_gamma 120.00
loop_
_atom_site_label
_atom_site_type_symbol
_atom_site_fract_x
_atom_site_fract_y
_atom_site_fract_z
_atom_site_occupancy
K1 K 0.0000 0.4081 0.2500 1
Ta1 Ta 0.0000 0.2473 0.5944 1
Ta2 Ta 0.3333 0.6667 0.0000 1
O1 O 0.0000 0.1979 0.0746 1
O2 O 0.0000 0.2071 0.7500 1
O3 O 0.1680 0.4809 0.5948 1

---

No. 8
# PBEsol Ta2TlRh, relaxed
# **Theoretical density**: 16.20 g/cm3
# **E_form**: 117 meV per atom
# **Size of the total moment**: 0.0 μB/cell
data_Ta2TlRh
_symmetry_space_group_name_H-M 'I 4/m m m'
_symmetry_Int_Tables_number 139
_symmetry_space_group_name_Hall '-I 4 2'
_cell_length_a 3.944
_cell_length_b 3.944
_cell_length_c 8.818
_cell_angle_alpha 90.00
_cell_angle_beta 90.00
_cell_angle_gamma 90.00
loop_
_atom_site_label
_atom_site_type_symbol
_atom_site_fract_x
_atom_site_fract_y
_atom_site_fract_z
_atom_site_occupancy
Ta1 Ta 0.000 0.500 0.250 1
Tl1 Tl 0.000 0.000 0.000 1
Rh1 Rh 0.000 0.000 0.500 1

---

No. 9
# PBEsol SrMg2Ru, relaxed
# **Theoretical density**: 3.97 g/cm3
# **E_form**: 202 meV per atom
# **Size of the total moment**: 0.0 μB/cell
data_SrMg2Ru
_symmetry_space_group_name_H-M 'R 3 m'
_symmetry_Int_Tables_number 160
_symmetry_space_group_name_Hall 'R 3 -2"'
_cell_length_a 4.6073
_cell_length_b 4.6073
_cell_length_c 16.1800
_cell_angle_alpha 90.00
_cell_angle_beta 90.00
_cell_angle_gamma 120.00
loop_
_atom_site_label
_atom_site_type_symbol
_atom_site_fract_x
_atom_site_fract_y
_atom_site_fract_z
_atom_site_occupancy
Sr1 Sr 0.0000 0.0000 0.0000 1
Mg1 Mg 0.0000 0.0000 0.5240 1
Mg2 Mg 0.0000 0.0000 0.8026 1
Ru1 Ru 0.0000 0.0000 0.1926 1

---

No. 10
# PBEsol Be2CrTe, relaxed
# **Theoretical density**: 6.45 g/cm3
# **Energy relative to the elements, uncorrected**: 428 meV/atom
# **Size of the total moment**: 3.8 μB/cell
data_Be2CrTe
_symmetry_space_group_name_H-M 'I -4 m 2'
_symmetry_Int_Tables_number 119
_symmetry_space_group_name_Hall 'I -4 -2'
_cell_length_a 3.611
_cell_length_b 3.611
_cell_length_c 7.805
_cell_angle_alpha 90.00
_cell_angle_beta 90.00
_cell_angle_gamma 90.00
loop_
_atom_site_label
_atom_site_type_symbol
_atom_site_fract_x
_atom_site_fract_y
_atom_site_fract_z
_atom_site_occupancy
Be1 Be 0.000 0.000 0.000 1
Be2 Be 0.000 0.500 0.250 1
Cr1 Cr 0.000 0.000 0.500 1
Te1 Te 0.000 0.500 0.750 1

---

No. 11
# PBEsol InGaAs3, relaxed
# **Theoretical density**: 5.81 g/cm3
# **E_form**: 572 meV per atom
# **Size of the total moment**: 0.0 μB/cell
data_InGaAs3
_symmetry_space_group_name_H-M 'P m -3 m'
_symmetry_Int_Tables_number 221
_symmetry_space_group_name_Hall '-P 4 2 3'
_cell_length_a 4.891
_cell_length_b 4.891
_cell_length_c 4.891
_cell_angle_alpha 90.00
_cell_angle_beta 90.00
_cell_angle_gamma 90.00
loop_
_atom_site_label
_atom_site_type_symbol
_atom_site_fract_x
_atom_site_fract_y
_atom_site_fract_z
_atom_site_occupancy
In1 In 0.000 0.000 0.000 1
Ga1 Ga 0.500 0.500 0.500 1
As1 As 0.000 0.500 0.500 1

---

No. 12
# PBEsol CaZnPt2, relaxed
# **Theoretical density**: 12.42 g/cm3
# **E_form**: -528 meV per atom
# **Size of the total moment**: 0.0 μB/cell
data_CaZnPt2
_symmetry_space_group_name_H-M 'I -4 m 2'
_symmetry_Int_Tables_number 119
_symmetry_space_group_name_Hall 'I -4 -2'
_cell_length_a 3.921
_cell_length_b 3.921
_cell_length_c 8.619
_cell_angle_alpha 90.00
_cell_angle_beta 90.00
_cell_angle_gamma 90.00
loop_
_atom_site_label
_atom_site_type_symbol
_atom_site_fract_x
_atom_site_fract_y
_atom_site_fract_z
_atom_site_occupancy
Ca1 Ca 0.000 0.000 0.000 1
Zn1 Zn 0.000 0.500 0.750 1
Pt1 Pt 0.000 0.000 0.500 1
Pt2 Pt 0.000 0.500 0.250 1

---

No. 13
# PBEsol CoAgBr2N, relaxed
# **Theoretical density**: 6.53 g/cm3
# **Energy relative to the elements, uncorrected**: 223 meV/atom
# **Size of the total moment**: 0.0 μB/cell
data_CoAgBr2N
_symmetry_space_group_name_H-M 'P 4/m m m'
_symmetry_Int_Tables_number 123
_symmetry_space_group_name_Hall '-P 4 2'
_cell_length_a 5.051
_cell_length_b 5.051
_cell_length_c 3.394
_cell_angle_alpha 90.00
_cell_angle_beta 90.00
_cell_angle_gamma 90.00
loop_
_atom_site_label
_atom_site_type_symbol
_atom_site_fract_x
_atom_site_fract_y
_atom_site_fract_z
_atom_site_occupancy
Co1 Co 0.000 0.000 0.000 1
Ag1 Ag 0.500 0.500 0.500 1
Br1 Br 0.000 0.500 0.000 1
N1 N 0.000 0.000 0.500 1

---

No. 14
# PBEsol PmPrTl2, relaxed
# **Theoretical density**: 10.23 g/cm3
# **E_form**: -455 meV per atom
# **Size of the total moment**: 0.0 μB/cell
data_PmPrTl2
_symmetry_space_group_name_H-M 'F m -3 m'
_symmetry_Int_Tables_number 225
_symmetry_space_group_name_Hall '-F 4 2 3'
_cell_length_a 7.668
_cell_length_b 7.668
_cell_length_c 7.668
_cell_angle_alpha 90.00
_cell_angle_beta 90.00
_cell_angle_gamma 90.00
loop_
_atom_site_label
_atom_site_type_symbol
_atom_site_fract_x
_atom_site_fract_y
_atom_site_fract_z
_atom_site_occupancy
Pm1 Pm 0.000 0.000 0.000 1
Pr1 Pr 0.000 0.000 0.500 1
Tl1 Tl 0.250 0.250 0.250 1

---

No. 15
# PBEsol Al3Se, relaxed
# **Theoretical density**: 3.72 g/cm3
# **Energy relative to the elements, uncorrected**: 175 meV/atom
# **Size of the total moment**: 0.0 μB/cell
data_Al3Se
_symmetry_space_group_name_H-M 'F m -3 m'
_symmetry_Int_Tables_number 225
_symmetry_space_group_name_Hall '-F 4 2 3'
_cell_length_a 6.584
_cell_length_b 6.584
_cell_length_c 6.584
_cell_angle_alpha 90.00
_cell_angle_beta 90.00
_cell_angle_gamma 90.00
loop_
_atom_site_label
_atom_site_type_symbol
_atom_site_fract_x
_atom_site_fract_y
_atom_site_fract_z
_atom_site_occupancy
Al1 Al 0.000 0.000 0.000 1
Al2 Al 0.250 0.250 0.250 1
Se1 Se 0.000 0.000 0.500 1

---

No. 16
# PBEsol LaUN2, relaxed
# **Theoretical density**: 10.89 g/cm3
# **Energy relative to the elements, uncorrected**: -1502 meV/atom
# **Size of the total moment**: 2.0 μB/cell
data_LaUN2
_symmetry_space_group_name_H-M 'R -3 m'
_symmetry_Int_Tables_number 166
_symmetry_space_group_name_Hall '-R 3 2"'
_cell_length_a 3.5116
_cell_length_b 3.5116
_cell_length_c 17.3531
_cell_angle_alpha 90.00
_cell_angle_beta 90.00
_cell_angle_gamma 120.00
loop_
_atom_site_label
_atom_site_type_symbol
_atom_site_fract_x
_atom_site_fract_y
_atom_site_fract_z
_atom_site_occupancy
La1 La 0.0000 0.0000 0.0000 1
U1 U 0.0000 0.0000 0.5000 1
N1 N 0.0000 0.0000 0.2317 1

---

No. 17
# PBEsol CaCr2P, relaxed
# **Theoretical density**: 4.23 g/cm3
# **E_form**: 224 meV per atom
# **Size of the total moment**: 0.0 μB/cell
data_CaCr2P
_symmetry_space_group_name_H-M 'C m m m'
_symmetry_Int_Tables_number 65
_symmetry_space_group_name_Hall '-C 2 2'
_cell_length_a 5.305
_cell_length_b 5.953
_cell_length_c 4.347
_cell_angle_alpha 90.00
_cell_angle_beta 90.00
_cell_angle_gamma 90.00
loop_
_atom_site_label
_atom_site_type_symbol
_atom_site_fract_x
_atom_site_fract_y
_atom_site_fract_z
_atom_site_occupancy
Ca1 Ca 0.000 0.000 0.000 1
Cr1 Cr 0.000 0.342 0.500 1
P1 P 0.000 0.500 0.000 1

---

No. 18
# PBEsol LiSc2Rh, relaxed
# **Theoretical density**: 4.87 g/cm3
# **E_form**: -524 meV per atom
# **Size of the total moment**: 0.0 μB/cell
data_LiSc2Rh
_symmetry_space_group_name_H-M 'F m -3 m'
_symmetry_Int_Tables_number 225
_symmetry_space_group_name_Hall '-F 4 2 3'
_cell_length_a 6.484
_cell_length_b 6.484
_cell_length_c 6.484
_cell_angle_alpha 90.00
_cell_angle_beta 90.00
_cell_angle_gamma 90.00
loop_
_atom_site_label
_atom_site_type_symbol
_atom_site_fract_x
_atom_site_fract_y
_atom_site_fract_z
_atom_site_occupancy
Li1 Li 0.000 0.000 0.000 1
Sc1 Sc 0.250 0.250 0.250 1
Rh1 Rh 0.000 0.000 0.500 1

---

No. 19
# PBEsol MoAsBr2, relaxed
# **Polymorph energy (0 for the lowest one)**: 0.000 eV per atom
# **Theoretical density**: 5.82 g/cm3
# **Energy relative to the elements, uncorrected**: 10 meV/atom
# **Size of the total moment**: 0.0 μB/cell
data_MoAsBr2
_symmetry_space_group_name_H-M 'C 1 2/m 1'
_symmetry_Int_Tables_number 12
_symmetry_space_group_name_Hall '-C 2y'
_cell_length_a 15.109
_cell_length_b 3.116
_cell_length_c 4.167
_cell_angle_alpha 90.00
_cell_angle_beta 106.01
_cell_angle_gamma 90.00
loop_
_atom_site_label
_atom_site_type_symbol
_atom_site_fract_x
_atom_site_fract_y
_atom_site_fract_z
_atom_site_occupancy
Mo1 Mo 0.000 0.000 0.000 1
As1 As 0.000 0.500 0.500 1
Br1 Br 0.151 0.500 0.149 1

---

No. 20
# PBEsol Pr2ZnIn, relaxed
# **Theoretical density**: 7.23 g/cm3
# **E_form**: -389 meV per atom
# **Size of the total moment**: 0.0 μB/cell
data_Pr2ZnIn
_symmetry_space_group_name_H-M 'F m -3 m'
_symmetry_Int_Tables_number 225
_symmetry_space_group_name_Hall '-F 4 2 3'
_cell_length_a 7.514
_cell_length_b 7.514
_cell_length_c 7.514
_cell_angle_alpha 90.00
_cell_angle_beta 90.00
_cell_angle_gamma 90.00
loop_
_atom_site_label
_atom_site_type_symbol
_atom_site_fract_x
_atom_site_fract_y
_atom_site_fract_z
_atom_site_occupancy
Pr1 Pr 0.250 0.250 0.250 1
Zn1 Zn 0.000 0.000 0.000 1
In1 In 0.000 0.000 0.500 1